Entry 1:
VASP calculation (PBE-GGA) on a relaxed structure of MgFePt2.

Properties
Total DFT energy (no corrections)   -6.04 eV per atom
E_form   -2.013 eV/f.u.
Mass density   13.00 g/cm3
DOS(E_F)   2.22 states/eV/f.u.

abc: 3.6170 2.8598 6.4756
angles: 63.71 90.00 90.00
Positions (direct):
Fe 0.5000 0.2500 0.2500
Pt 0.0000 0.9908 0.0093
Mg 0.5000 0.7500 0.7500
Pt 0.0000 0.5092 0.4907


Entry 2:
VASP calculation (PBE-GGA) on a relaxed structure of Ho2Er4Pb.

Properties
Total DFT energy (no corrections)   -4.49 eV per atom
E_form   -0.334 eV/f.u.
Mass density   9.43 g/cm3
DOS(E_F)   10.28 states/eV/f.u.

abc: 5.5649 6.7507 11.6696
angles: 90.00 104.37 90.00
Positions (direct):
Ho 0.5355 0.7500 0.0205
Er 0.8055 0.2500 0.5821
Er 0.3636 0.9891 0.7099
Er 0.9487 0.7500 0.8576
Er 0.6364 0.4891 0.2901
Ho 0.4645 0.2500 0.9795
Pb 0.0990 0.7500 0.1462
Er 0.0513 0.2500 0.1424
Er 0.3636 0.5109 0.7099
Er 0.6364 0.0109 0.2901
Pb 0.9010 0.2500 0.8538
Er 0.1945 0.7500 0.4179
Ho 0.7729 0.7500 0.5637
Ho 0.2271 0.2500 0.4363


Entry 3:
VASP calculation (PBE-GGA) on a relaxed structure of Ti4Tc3Pd.

Properties
Total DFT energy (no corrections)   -9.06 eV per atom
E_form   -4.574 eV/f.u.
Mass density   8.14 g/cm3
DOS(E_F)   3.16 states/eV/f.u.

abc: 4.4017 6.2298 8.8034
angles: 90.00 90.00 90.00
Positions (direct):
Tc 0.5001 0.0000 0.7500
Ti 0.5000 0.2418 0.0000
Tc 0.5000 0.5000 0.7500
Tc 0.5000 0.5000 0.2500
Tc 0.0000 0.0000 0.5000
Ti 0.0000 0.7582 0.7500
Ti 0.0000 0.7582 0.2500
Ti 0.0000 0.2418 0.7500
Tc 0.0000 0.0000 0.0000
Ti 0.0000 0.2418 0.2500
Pd 0.0000 0.5000 0.5000
Ti 0.5000 0.2418 0.5000
Pd 0.0000 0.5000 0.0000
Ti 0.5000 0.7582 0.0000
Tc 0.4999 0.0000 0.2500
Ti 0.5000 0.7582 0.5000


Entry 4:
VASP calculation (PBE-GGA) on a relaxed structure of Ce2ThBr.

Properties
Total DFT energy (no corrections)   -5.64 eV per atom
Mass density   8.58 g/cm3
DOS(E_F)   10.91 states/eV/f.u.

abc: 3.4962 3.4962 9.3747
angles: 90.00 90.00 90.00
Positions (direct):
Br 0.5000 0.5000 0.0000
Th 0.5000 0.5000 0.5000
Ce 0.0000 0.0000 0.2444
Ce 0.0000 0.0000 0.7556